A relaxed MgZnCd2 crystal. Source: Alexandria via LeMat-Bulk, functional GGA-PBEsol.

The structure belongs to space group I4/mmm (No. 139); the cell edges are 4.230, 4.230 and 8.578 Å and the angles 90.00°, 90.00° and 90.00°. The asymmetric unit holds Mg at (0.000, 0.000, 0.000), Zn at (0.000, 0.000, 0.500) and Cd at (0.000, 0.500, 0.250).

The formation energy is -0.02 eV per atom. Its excess energy over the best structure of this formula in the dataset is 0.006 eV/atom.

A relaxed MgTl2In crystal. Source: Alexandria via LeMat-Bulk, functional GGA-PBEsol.

The structure belongs to space group Pmmm (No. 47); the cell edges are 3.724, 5.230 and 5.325 Å and the angles 90.00°, 90.00° and 90.00°. The asymmetric unit holds Mg at (0.000, 0.000, 0.000), Tl at (0.000, 0.500, 0.500), Tl at (0.500, 0.500, 0.000) and In at (0.500, 0.000, 0.500).

The formation energy is 0.00 eV per atom.

A relaxed Na6B4Sb2PO16 crystal. Source: Alexandria via LeMat-Bulk, functional GGA-PBEsol.

The structure belongs to space group Fd-3 (No. 203, origin choice 2); the cell edges are 14.107, 14.107 and 14.107 Å and the angles 90.00°, 90.00° and 90.00°. The asymmetric unit holds Na at (0.078, 0.375, 0.375), B at (0.035, 0.035, 0.715), Sb at (0.000, 0.000, 0.500), P at (0.125, 0.125, 0.125), O at (0.022, 0.109, 0.778) and O at (0.061, 0.061, 0.061).

The formation energy (no corrections) comes out at -58.7 eV/f.u.

A relaxed Cs3PCl crystal. Source: Alexandria via LeMat-Bulk, functional GGA-PBEsol.

The structure belongs to space group Pm-3m (No. 221); the cell edges are 6.618, 6.618 and 6.618 Å and the angles 90.00°, 90.00° and 90.00°. The asymmetric unit holds Cs at (0.000, 0.000, 0.500), P at (0.000, 0.000, 0.000) and Cl at (0.500, 0.500, 0.500).

The formation energy (no corrections) comes out at -2.9 eV/f.u.

no.,E (eV per atom),magnetization (μB/cell)
1,-1.446,0.00
2,-2.493,0.00
3,-6.693,0.00
4,-2.706,1.00